Computed, not measured: crystalline MgTcPCl2 at its relaxed geometry at the PBE level of DFT.

Lattice parameters (Å, degrees): 4.5331 4.5331 5.7662 90.00 90.00 90.00
Atoms (fractional coordinates):
Mg 0.0000 0.0000 0.0000
Tc 0.5000 0.5000 0.5000
P 0.0000 0.0000 0.5000
Cl 0.0000 0.5000 0.0000
Cl 0.5000 0.0000 0.0000

* formation energy (no corrections): 0.28 eV/atom
* ρ: 3.14 Mg/m³
* SG: P4/mmm (123)
* final energy: -3.9352 eV per atom

Computed, not measured: crystalline KGeI2N at its relaxed geometry at the PBE level of DFT.

Lattice parameters (Å, degrees): 6.4293 6.4293 4.9653 90.00 90.00 90.00
Atoms (fractional coordinates):
K 0.0000 0.0000 0.0000
Ge 0.5000 0.5000 0.5000
I 0.0000 0.5000 0.0000
I 0.5000 0.0000 0.0000
N 0.0000 0.0000 0.5000

* formation energy (no corrections): 1.01 eV/atom
* ρ: 3.07 Mg/m³
* SG: P4/mmm (123)
* final energy: -2.4147 eV per atom

Computed, not measured: crystalline HfPd2Pt3 at its relaxed geometry at the PBE level of DFT.

Lattice parameters (Å, degrees): 7.4867 7.4867 5.1442 90.00 90.00 136.22
Atoms (fractional coordinates):
Hf 0.1541 0.8459 0.7500
Hf 0.8459 0.1541 0.2500
Pd 0.2527 0.2527 0.0000
Pd 0.2527 0.2527 0.5000
Pd 0.7473 0.7473 0.0000
Pd 0.7473 0.7473 0.5000
Pt 0.0706 0.4243 0.7500
Pt 0.3475 0.6525 0.2500
Pt 0.4243 0.0706 0.2500
Pt 0.5757 0.9294 0.7500
Pt 0.6525 0.3475 0.7500
Pt 0.9294 0.5757 0.2500

* ρ: 16.26 Mg/m³
* SG: Cmcm (63)
* energy relative to the elements: -0.521 eV per atom
* final energy: -6.9311 eV per atom

Computed, not measured: crystalline Pm3PrAu at its relaxed geometry at the PBE level of DFT.

Lattice parameters (Å, degrees): 7.9306 7.9306 6.2186 90.00 90.00 120.00
Atoms (fractional coordinates):
Pm 0.1863 0.3725 0.2500
Pm 0.1863 0.8137 0.2500
Pm 0.3725 0.1863 0.7500
Pm 0.6275 0.8137 0.2500
Pm 0.8137 0.1863 0.7500
Pm 0.8137 0.6275 0.7500
Pr 0.3333 0.6667 0.7500
Pr 0.6667 0.3333 0.2500
Au 0.0000 0.0000 0.0000
Au 0.0000 0.0000 0.5000

* ρ: 7.58 Mg/m³
* SG: P6_3/mmc (194)
* energy relative to the elements: -0.130 eV per atom
* final energy: -4.5916 eV per atom

Computed, not measured: crystalline Ni3Rh2 at its relaxed geometry at the PBE level of DFT.

Lattice parameters (Å, degrees): 10.5690 10.5690 10.5690 14.31 14.31 14.31
Atoms (fractional coordinates):
Ni 0.0000 0.0000 0.0000
Ni 0.1981 0.1981 0.1981
Ni 0.8019 0.8019 0.8019
Rh 0.4011 0.4011 0.4011
Rh 0.5989 0.5989 0.5989

* ρ: 10.10 Mg/m³
* SG: R-3m (166)
* energy relative to the elements: 0.063 eV per atom
* final energy: -6.3461 eV per atom

Computed, not measured: crystalline Ho2Mn2SnRh5 at its relaxed geometry at the PBE level of DFT.

Lattice parameters (Å, degrees): 9.6009 9.6009 3.7330 90.00 90.00 90.00
Atoms (fractional coordinates):
Ho 0.1779 0.3221 0.0000
Ho 0.3221 0.8221 0.0000
Ho 0.6779 0.1779 0.0000
Ho 0.8221 0.6779 0.0000
Mn 0.1199 0.6199 0.0000
Mn 0.3801 0.1199 0.0000
Mn 0.6199 0.8801 0.0000
Mn 0.8801 0.3801 0.0000
Sn 0.0000 0.0000 0.0000
Sn 0.5000 0.5000 0.0000
Rh 0.0000 0.5000 0.5000
Rh 0.0670 0.7899 0.5000
Rh 0.2101 0.0670 0.5000
Rh 0.2899 0.5670 0.5000
Rh 0.4330 0.2899 0.5000
Rh 0.5000 0.0000 0.5000
Rh 0.5670 0.7101 0.5000
Rh 0.7101 0.4330 0.5000
Rh 0.7899 0.9330 0.5000
Rh 0.9330 0.2101 0.5000

* ρ: 10.36 Mg/m³
* SG: P4/mbm (127)
* energy relative to the elements: -0.509 eV per atom
* final energy: -7.3346 eV per atom